A relaxed structure of BaFeCuF7. Source: Alexandria via LeMat-Bulk, functional GGA+U.

Output
The calculation puts the distance to the lowest polymorph of the same formula at 0.8 kJ/mol of atoms. The value obtained for the calculated total energy is -101.9 eV/cell.

Unit cell a=7.4630 b=7.4630 c=5.7032 alpha=110.74 beta=110.74 gamma=86.48
Positions (direct):
Ba  0.1809  0.8191  0.5000
Ba  0.8191  0.1809  0.0000
Fe  0.2047  0.4250  0.8548
Fe  0.4250  0.2047  0.3548
Cu  0.5918  0.7871  0.1264
Cu  0.7871  0.5918  0.6264
F  0.0737  0.4636  0.5209
F  0.0854  0.1777  0.7516
F  0.1777  0.0854  0.2516
F  0.3261  0.6921  0.0219
F  0.3282  0.4199  0.2299
F  0.4199  0.3282  0.7299
F  0.4636  0.0737  0.0209
F  0.5394  0.9905  0.4741
F  0.5567  0.7058  0.7475
F  0.6921  0.3261  0.5219
F  0.7058  0.5567  0.2475
F  0.8307  0.9168  0.2278
F  0.9168  0.8307  0.7278
F  0.9905  0.5394  0.9741